First-principles (meta-GGA SCAN) data for a crystal of KY2Ir relaxed with PBEsol, as listed in Alexandria via LeMat-Bulk.

Cell and atoms, written as extended XYZ:
```
4
Lattice="3.816 0.000 0.000 0.000 3.994 -0.013 0.000 -1.977 8.882" Properties=species:S:1:pos:R:3 pbc="T T T"
Y 1.908 2.254 3.005
Y 0.000 0.249 0.717
Ir 0.000 0.258 3.294
K 1.908 0.263 6.288
```

Results
The offset from the most stable computed form comes out at 180 meV/atom. As for the crystal system: monoclinic. The calculation puts the raw total energy at -2.49994 Ry/atom. For the density of states at the Fermi level, the calculation gives 2.8 states/eV/f.u.